VASP calculation (GGA+U) on crystalline Nb2VZnF at its relaxed geometry.

The structure in POSCAR format:
```
Nb2VZnF
1.0
4.3848 0.0000 0.0000
0.0000 4.3848 0.0000
0.0000 0.0000 4.0522
Nb V Zn F
2 1 1 1
direct
0.0000 0.5000 0.0000 Nb
0.5000 0.0000 0.0000 Nb
0.0000 0.0000 0.5000 V
0.5000 0.5000 0.5000 Zn
0.0000 0.0000 0.0000 F
```

final energy: -6.01 eV per atom